Entry from Alexandria via LeMat-Bulk: a relaxed structure of PmHg3Pb (PBE).

Cell: 8.072 6.827 10.013 Å, 90.00 90.00 90.00°
Atoms (fractional coordinates):
Pm  0.162  0.250  0.086
Pm  0.338  0.750  0.586
Pm  0.662  0.250  0.414
Pm  0.838  0.750  0.914
Hg  0.151  0.750  0.116
Hg  0.154  0.511  0.812
Hg  0.154  0.989  0.812
Hg  0.346  0.011  0.312
Hg  0.346  0.489  0.312
Hg  0.349  0.250  0.616
Hg  0.651  0.750  0.384
Hg  0.654  0.511  0.688
Hg  0.654  0.989  0.688
Hg  0.846  0.011  0.188
Hg  0.846  0.489  0.188
Hg  0.849  0.250  0.884
Pb  0.000  0.000  0.500
Pb  0.000  0.500  0.500
Pb  0.500  0.000  0.000
Pb  0.500  0.500  0.000

## Properties
The raw total energy is -2.117 eV/atom. As for the space group: No. 62. As for the formation energy: -0.244 eV/atom. The calculation puts the magnetization at 0.0000 μB/atom. As for the density of states at the Fermi level: 11.99 states/eV per cell. The value obtained for the energy above the most stable polymorph in this dataset is 0 meV/atom.